# FeTeCl2, relaxed, DFT PBE-GGA
data_FeTeCl2
_symmetry_space_group_name_H-M 'P 1'
_symmetry_Int_Tables_number 1
_symmetry_space_group_name_Hall 'P 1'
_cell_length_a 4.9756
_cell_length_b 4.9756
_cell_length_c 4.9756
_cell_angle_alpha 60.00
_cell_angle_beta 60.00
_cell_angle_gamma 60.00
loop_
_atom_site_label
_atom_site_type_symbol
_atom_site_fract_x
_atom_site_fract_y
_atom_site_fract_z
Te1 Te 0.5000 0.5000 0.5000
Fe1 Fe 0.0000 0.0000 0.0000
Cl1 Cl 0.2500 0.2500 0.2500
Cl2 Cl 0.7500 0.7500 0.7500
# space-group type	Fm-3m, No. 225
# DOS at the Fermi energy	1.1985	states/eV per atom
# E_tot	-3.243	eV per atom
# energy relative to the elements, uncorrected	0.58	eV per atom
# excess energy over the best structure of this formula in the dataset	3.78	eV/f.u.

# FeTe2Cl, relaxed, DFT PBE-GGA
data_FeTe2Cl
_symmetry_space_group_name_H-M 'P 1'
_symmetry_Int_Tables_number 1
_symmetry_space_group_name_Hall 'P 1'
_cell_length_a 3.2046
_cell_length_b 6.9682
_cell_length_c 6.4026
_cell_angle_alpha 87.80
_cell_angle_beta 90.00
_cell_angle_gamma 90.00
loop_
_atom_site_label
_atom_site_type_symbol
_atom_site_fract_x
_atom_site_fract_y
_atom_site_fract_z
Te1 Te 0.0000 0.0275 0.8778
Te2 Te 0.5000 0.0643 0.3447
Fe1 Fe 0.5000 0.8231 0.6562
Cl1 Cl 0.0000 0.5851 0.6213
# space-group type	Pm, No. 6
# DOS at the Fermi energy	0.6738	states/eV per atom
# E_tot	-4.266	eV per atom
# energy relative to the elements, uncorrected	-0.12	eV per atom
# excess energy over the best structure of this formula in the dataset	0.12	eV/f.u.

# FeTeCl, relaxed, DFT PBE-GGA
data_FeTeCl
_symmetry_space_group_name_H-M 'P 1'
_symmetry_Int_Tables_number 1
_symmetry_space_group_name_Hall 'P 1'
_cell_length_a 4.4295
_cell_length_b 4.4295
_cell_length_c 4.4295
_cell_angle_alpha 60.00
_cell_angle_beta 60.00
_cell_angle_gamma 60.00
loop_
_atom_site_label
_atom_site_type_symbol
_atom_site_fract_x
_atom_site_fract_y
_atom_site_fract_z
Te1 Te 0.0000 0.0000 0.0000
Fe1 Fe 0.7500 0.7500 0.7500
Cl1 Cl 0.5000 0.5000 0.5000
# space-group type	F-43m, No. 216
# DOS at the Fermi energy	0.4675	states/eV per atom
# E_tot	-4.207	eV per atom
# energy relative to the elements, uncorrected	0.28	eV per atom

# Th2FeCl, relaxed, DFT PBE-GGA
data_Th2FeCl
_symmetry_space_group_name_H-M 'P 1'
_symmetry_Int_Tables_number 1
_symmetry_space_group_name_Hall 'P 1'
_cell_length_a 3.9326
_cell_length_b 3.9332
_cell_length_c 7.7897
_cell_angle_alpha 89.99
_cell_angle_beta 90.00
_cell_angle_gamma 60.00
loop_
_atom_site_label
_atom_site_type_symbol
_atom_site_fract_x
_atom_site_fract_y
_atom_site_fract_z
Th1 Th 0.6667 0.6666 0.1868
Th2 Th 0.3333 0.3334 0.8132
Fe1 Fe 0.0000 0.0000 0.0000
Cl1 Cl 0.0000 0.0000 0.5000
# space-group type	P-3m1, No. 164
# DOS at the Fermi energy	0.9363	states/eV per atom
# E_tot	-6.967	eV per atom
# energy relative to the elements, uncorrected	-0.68	eV per atom
# excess energy over the best structure of this formula in the dataset	0.17	eV/f.u.

| no. | magnetization (μB per atom) |
| --- | --- |
| 1 | 0.6951 |
| 2 | 0.8122 |
| 3 | 0.3063 |
| 4 | 0.0000 |